First-principles (SCAN) data for a PBEsol-optimized structure of K2AgSb, as listed in Alexandria.

Lattice parameters (Å, degrees): 4.9288 6.2259 6.2259 52.57 90.00 90.00
Closest atoms and distances in Å follow each position.
Positions (direct):
K: 0.0000 0.0000 0.0000  3 Sb 3.47-3.48
K: 0.5000 0.2943 0.2943  3 Ag 3.43-3.53
Ag: 0.5000 0.6108 0.6108  2 Sb 2.61
Sb: 0.0000 0.6885 0.6885  2 Ag 2.61

Calculated values
As for the uncorrected formation energy: -144 kJ/mol of formula units. The calculation puts the total energy at -21.696 eV per atom. The symmetry is Amm2.



First-principles (SCAN) data for a PBEsol-optimized structure of KInFe2, as listed in Alexandria.

Lattice parameters (Å, degrees): 2.9372 4.6704 6.7817 90.00 95.81 90.00
Closest atoms and distances in Å follow each position.
Positions (direct):
K: 0.0000 0.0000 0.0000  2 K 2.94
In: 0.5000 0.0000 0.5000  4 Fe 2.62
Fe: 0.2515 0.5000 0.6282  2 Fe 2.16-2.38
Fe: 0.7485 0.5000 0.3718  2 Fe 2.16-2.38

Calculated values
The calculation puts the total energy at -18.941 eV per atom. Its formation energy from the elements is 0.5524 eV/atom. The symmetry is P2/m.



First-principles (SCAN) data for a PBEsol-optimized structure of IrPt2S, as listed in Alexandria.

Lattice parameters (Å, degrees): 7.5865 7.5865 7.5865 144.13 144.13 51.63
Closest atoms and distances in Å follow each position.
Positions (direct):
Ir: 0.0000 0.0000 0.0000  4 Pt 2.50
Ir: 0.7500 0.2500 0.5000  4 Pt 2.50
Pt: 0.1752 0.6250 0.0502  2 S 2.27, 2 Ir 2.50
Pt: 0.3750 0.4252 0.5502  2 S 2.27, 2 Ir 2.50
Pt: 0.5748 0.1250 0.9498  2 S 2.27, 2 Ir 2.50
Pt: 0.8750 0.8248 0.4498  2 S 2.27, 2 Ir 2.50
S: 0.2500 0.7500 0.5000  4 Pt 2.27
S: 0.5000 0.5000 0.0000  4 Pt 2.27

Calculated values
As for the uncorrected formation energy: 228 kJ/mol of formula units. The calculation puts the total energy at -54.688 eV per atom. The symmetry is I-42d.



First-principles (SCAN) data for a PBEsol-optimized structure of KSbPt2, as listed in Alexandria.

Lattice parameters (Å, degrees): 3.4281 3.4281 7.6286 90.00 90.00 90.00
Closest atoms and distances in Å follow each position.
Positions (direct):
K: 0.0000 0.0000 0.0000  5 Pt 3.29-3.58, 4 K 3.43, 4 Sb 3.67
Sb: 0.5000 0.5000 0.6390  5 Pt 2.65-2.75
Pt: 0.0000 0.0000 0.4694  4 Sb 2.75, 4 Pt 2.78
Pt: 0.5000 0.5000 0.2923  1 Sb 2.65, 4 Pt 2.78

Calculated values
As for the uncorrected formation energy: -47 kJ/mol of formula units. The calculation puts the total energy at -46.615 eV per atom. The symmetry is P4mm.



First-principles (SCAN) data for a PBEsol-optimized structure of Ta13Mo3, as listed in Alexandria.

Lattice parameters (Å, degrees): 6.4848 6.5025 6.5025 89.17 90.00 90.00
Closest atoms and distances in Å follow each position.
Positions (direct):
Ta: 0.0000 0.0000 0.0000  6 Ta 2.78-2.86, 2 Mo 2.79
Ta: 0.0000 0.0029 0.4891  2 Mo 2.75, 6 Ta 2.83-2.86
Ta: 0.0000 0.4891 0.0029  2 Mo 2.75, 6 Ta 2.83-2.86
Ta: 0.0000 0.4931 0.4931  2 Mo 2.82, 6 Ta 2.84-2.86
Ta: 0.2524 0.7468 0.7468  1 Mo 2.81, 7 Ta 2.85-2.86
Ta: 0.2532 0.2411 0.7492  1 Mo 2.76, 7 Ta 2.78-2.85
Ta: 0.2532 0.7492 0.2411  1 Mo 2.76, 7 Ta 2.78-2.85
Ta: 0.5000 0.0023 0.4877  2 Mo 2.74, 6 Ta 2.81-2.85
Ta: 0.5000 0.4877 0.0023  2 Mo 2.74, 6 Ta 2.81-2.85
Ta: 0.5000 0.4912 0.4912  2 Mo 2.79, 6 Ta 2.82-2.86
Ta: 0.7468 0.2411 0.7492  1 Mo 2.76, 7 Ta 2.78-2.85
Ta: 0.7468 0.7492 0.2411  1 Mo 2.76, 7 Ta 2.78-2.85
Ta: 0.7476 0.7468 0.7468  1 Mo 2.81, 7 Ta 2.85-2.86
Mo: 0.2512 0.2450 0.2450  7 Ta 2.74-2.82, 1 Mo 2.81
Mo: 0.5000 0.9960 0.9960  6 Ta 2.76-2.81, 2 Mo 2.81
Mo: 0.7488 0.2450 0.2450  7 Ta 2.74-2.82, 1 Mo 2.81

Calculated values
The calculation puts the total energy at -60.704 eV per atom. Its formation energy from the elements is -0.0641 eV/atom. The symmetry is Amm2.



First-principles (SCAN) data for a PBEsol-optimized structure of BaCaLa, as listed in Alexandria.

Lattice parameters (Å, degrees): 5.7371 5.7371 5.7371 60.00 60.00 60.00
Closest atoms and distances in Å follow each position.
Positions (direct):
Ba: 0.0000 0.0000 0.0000  4 Ca 3.51, 4 La 3.51
Ca: 0.7500 0.7500 0.7500  4 Ba 3.51
La: 0.2500 0.2500 0.2500  4 Ba 3.51

Calculated values
The calculation puts the total energy at -30.046 eV per atom. Its formation energy from the elements is 0.7265 eV/atom. The symmetry is F-43m.



First-principles (SCAN) data for a PBEsol-optimized structure of GdInPd, as listed in Alexandria.

Lattice parameters (Å, degrees): 7.5799 7.5799 3.8728 90.00 90.00 120.00
Closest atoms and distances in Å follow each position.
Positions (direct):
Gd: 0.0000 0.5905 0.0000  5 Pd 3.00-3.10, 6 In 3.18-3.34
Gd: 0.4095 0.4095 0.0000  5 Pd 3.00-3.10, 6 In 3.18-3.34
Gd: 0.5905 0.0000 0.0000  5 Pd 3.00-3.10, 6 In 3.18-3.34
In: 0.0000 0.2569 0.5000  4 Pd 2.75-2.86
In: 0.2569 0.0000 0.5000  4 Pd 2.75-2.86
In: 0.7431 0.7431 0.5000  4 Pd 2.75-2.86
Pd: 0.0000 0.0000 0.0000  6 In 2.75
Pd: 0.3333 0.6667 0.5000  3 In 2.86, 6 Gd 3.00
Pd: 0.6667 0.3333 0.5000  3 In 2.86, 6 Gd 3.00

Calculated values
The calculation puts the total energy at -42.548 eV per atom. Its formation energy from the elements is -0.8895 eV/atom. The symmetry is P-62m.



First-principles (SCAN) data for a PBEsol-optimized structure of TlInAu2I, as listed in Alexandria.

Lattice parameters (Å, degrees): 5.1927 5.1927 6.3561 90.00 90.00 90.00
Closest atoms and distances in Å follow each position.
Positions (direct):
Tl: 0.0000 0.0000 0.0000  4 Au 2.60
In: 0.5000 0.5000 0.5000  4 I 3.67, 8 Au 4.10
Au: 0.0000 0.5000 0.0000  2 Tl 2.60
Au: 0.5000 0.0000 0.0000  2 Tl 2.60
I: 0.0000 0.0000 0.5000  2 Tl 3.18

Calculated values
As for the uncorrected formation energy: 120 kJ/mol of formula units. The calculation puts the total energy at -55.912 eV per atom. The symmetry is P4/mmm.